DFT (GGA-PBEsol) results for a geometry-optimized Ca2InPd2 structure.

The structure belongs to space group C2/c (No. 15); the cell edges are 10.0165, 5.6672 and 8.0921 Å and the angles 90.00°, 104.81° and 90.00°. The distinct sites, in fractional coordinates, are Ca at (0.1489, 0.1473, 0.1493), In at (0.0000, 0.3442, 0.7500) and Pd at (0.1339, 0.3623, 0.5023).

The calculation puts the calculated formation energy at -0.711 eV/atom.

=====

DFT (GGA-PBEsol) results for a geometry-optimized Fe2NiRu structure.

The structure belongs to space group Pmmm (No. 47); the cell edges are 2.7700, 4.1117 and 4.1376 Å and the angles 90.00°, 90.00° and 90.00°. The distinct sites, in fractional coordinates, are Fe at (0.0000, 0.0000, 0.0000), Fe at (0.5000, 0.0000, 0.5000), Ni at (0.0000, 0.5000, 0.5000) and Ru at (0.5000, 0.5000, 0.0000).

The calculation puts the calculated formation energy at 0.218 eV/atom.

=====

DFT (GGA-PBEsol) results for a geometry-optimized MnReF3 structure.

The structure belongs to space group Pm-3m (No. 221); the cell edges are 4.1531, 4.1531 and 4.1531 Å and the angles 90.00°, 90.00° and 90.00°. The distinct sites, in fractional coordinates, are Mn at (0.0000, 0.0000, 0.0000), Re at (0.5000, 0.5000, 0.5000) and F at (0.0000, 0.5000, 0.5000).

For the formation energy without anion corrections, the calculation gives -1.2 eV/f.u.

=====

Taking the records one at a time from the top gives E_tot values of -4.54; -8.35; -6.02 eV/atom.